VASP calculation (PBE-GGA) on crystalline Ba2NpReN5 at its relaxed geometry.

Cell: 3.606 7.964 11.522 Å, 90.00 90.00 103.08°
Site moments in Bohr magnetons follow the coordinates.
Fractional coordinates of all 18 atoms:
Np (0.800, 0.599, 0.525)  1.25
Np (0.200, 0.401, 0.025)  1.25
N (0.047, 0.094, 0.011)  -0.01
N (0.498, 0.997, 0.307)  0.00
N (0.676, 0.353, 0.905)  -0.05
N (0.324, 0.647, 0.405)  -0.05
N (0.953, 0.906, 0.511)  -0.01
N (0.706, 0.412, 0.136)  -0.07
N (0.294, 0.588, 0.636)  -0.07
N (0.502, 0.003, 0.807)  0.00
N (0.326, 0.653, 0.003)  -0.07
N (0.674, 0.347, 0.503)  -0.07
Ba (0.887, 0.774, 0.169)  0.00
Ba (0.113, 0.226, 0.669)  0.00
Ba (0.142, 0.284, 0.323)  0.00
Ba (0.858, 0.716, 0.823)  0.00
Re (0.449, 0.899, 0.445)  -0.03
Re (0.551, 0.101, 0.945)  -0.03

Properties
As for the mass density: 7.9 g/cm³. As for the crystal system: orthorhombic. The total DFT energy (no corrections) is -8.56 eV/atom. The size of the total moment comes out at 2.01 μB/cell.